(1)
Material: MgC
Method: DFT, PBE-GGA
State: optimized geometry

## Properties
As for the symmetry: P4/m, No. 83. As for the formation enthalpy at 0 K: 0.50 eV/atom.

Unit cell a=9.4699 b=9.4699 c=2.6372 alpha=90.00 beta=90.00 gamma=90.00
With the nearest neighbours (Å) after each atom.
Positions (direct):
C  0.2030  0.4495  0.0000  2 C 1.47
C  0.5505  0.2030  0.0000  2 C 1.47
Mg  0.3635  0.2164  0.5000  4 C 2.21-2.43
Mg  0.2231  0.9366  0.0000  3 C 2.31-2.52
Mg  0.7836  0.3635  0.5000  4 C 2.21-2.43
C  0.6180  0.1865  0.5000  2 C 1.47
Mg  0.2164  0.6365  0.5000  4 C 2.21-2.43
C  0.7970  0.5505  0.0000  2 C 1.47
C  0.3820  0.8135  0.5000  2 C 1.47
Mg  0.0634  0.2231  0.0000  3 C 2.31-2.52
C  0.1865  0.3820  0.5000  2 C 1.47
Mg  0.7769  0.0634  0.0000  3 C 2.31-2.52
C  0.8135  0.6180  0.5000  2 C 1.47
Mg  0.6365  0.7836  0.5000  4 C 2.21-2.43
C  0.4495  0.7970  0.0000  2 C 1.47
Mg  0.9366  0.7769  0.0000  3 C 2.31-2.52

(2)
Material: MgC2
Method: DFT, PBE-GGA
State: optimized geometry

## Properties
As for the symmetry: C2/m, No. 12. As for the formation enthalpy at 0 K: 0.69 eV/atom.

Unit cell a=7.5405 b=7.5405 c=3.4003 alpha=74.22 beta=74.22 gamma=20.57
With the nearest neighbours (Å) after each atom.
Positions (direct):
C  0.4073  0.4073  0.6658  2 C 1.45
C  0.6735  0.6735  0.5307  1 C 1.29
Mg  0.2414  0.2414  0.9785  9 C 2.30-2.56
C  0.6043  0.6043  0.8586  1 C 1.29
Mg  0.0364  0.0364  0.4107  9 C 2.30-2.56
C  0.8705  0.8705  0.7223  2 C 1.45

(3)
Material: Mg4C5
Method: DFT, PBE-GGA
State: optimized geometry

## Properties
As for the symmetry: I4/mmm, No. 139. As for the formation enthalpy at 0 K: 0.86 eV/atom.

Unit cell a=6.6966 b=6.6966 c=6.6966 alpha=92.25 beta=92.25 gamma=157.14
With the nearest neighbours (Å) after each atom.
Positions (direct):
Mg  0.0000  0.2276  0.2276  1 C 2.11
C  0.7269  0.7269  0.4538  2 C 1.46
C  0.0000  0.0000  0.0000  4 Mg 2.11
Mg  0.2276  0.0000  0.2276  1 C 2.11
C  0.2731  0.2731  0.5462  2 C 1.46
C  0.7269  0.2731  0.0000  2 C 1.46
Mg  0.7724  0.0000  0.7724  1 C 2.11
Mg  0.0000  0.7724  0.7724  1 C 2.11
C  0.2731  0.7269  0.0000  2 C 1.46

(4)
Material: MgC
Method: DFT, PBE-GGA
State: optimized geometry

## Properties
As for the symmetry: C2/m, No. 12. As for the formation enthalpy at 0 K: 0.53 eV/atom.

Unit cell a=6.4245 b=6.4245 c=3.1067 alpha=88.04 beta=88.04 gamma=27.64
With the nearest neighbours (Å) after each atom.
Positions (direct):
C  0.9275  0.9275  0.3703  1 C 1.31
Mg  0.5013  0.5013  0.8558  4 C 2.36-2.38
C  0.8225  0.8225  0.3797  1 C 1.31
Mg  0.2487  0.2487  0.8942  4 C 2.36-2.38

(5)
Material: MgC2
Method: DFT, PBE-GGA
State: optimized geometry

## Properties
As for the symmetry: R3m, No. 160. As for the formation enthalpy at 0 K: 0.49 eV/atom.

Unit cell a=4.5624 b=4.5624 c=4.5624 alpha=48.52 beta=48.52 gamma=48.52
With the nearest neighbours (Å) after each atom.
Positions (direct):
Mg  0.9331  0.9331  0.9331  4 C 2.18-2.24
C  0.7522  0.7522  0.7522  1 C 1.26
C  0.6480  0.6480  0.6480  1 C 1.26

(6)
Material: MgC
Method: DFT, PBE-GGA
State: optimized geometry

## Properties
As for the symmetry: Cmmm, No. 65. As for the formation enthalpy at 0 K: 0.52 eV/atom.

Unit cell a=14.7027 b=2.7106 c=3.4010 alpha=90.00 beta=90.00 gamma=90.00
With the nearest neighbours (Å) after each atom.
Positions (direct):
C  0.5000  0.5000  0.5000  6 Mg 2.17-2.19
Mg  0.0000  0.5000  0.0000  4 C 2.17
Mg  0.8509  0.0000  0.5000  5 C 2.19-2.43
C  0.7765  0.5000  0.0000  2 C 1.56
Mg  0.3509  0.5000  0.5000  5 C 2.19-2.43
Mg  0.6491  0.5000  0.5000  5 C 2.19-2.43
C  0.2765  0.0000  0.0000  2 C 1.56
C  0.7235  0.0000  0.0000  2 C 1.56
C  0.2235  0.5000  0.0000  2 C 1.56
C  0.0000  0.0000  0.5000  6 Mg 2.17-2.19
Mg  0.1491  0.0000  0.5000  5 C 2.19-2.43
Mg  0.5000  0.0000  0.0000  4 C 2.17

(7)
Material: MgC
Method: DFT, PBE-GGA
State: optimized geometry

## Properties
As for the symmetry: P6_3/mmc, No. 194. As for the formation enthalpy at 0 K: 1.26 eV/atom.

Unit cell a=2.8793 b=2.8793 c=6.5015 alpha=90.00 beta=90.00 gamma=120.00
With the nearest neighbours (Å) after each atom.
Positions (direct):
C  0.3333  0.6667  0.2500  6 Mg 2.32
Mg  0.0000  0.0000  0.5000  6 C 2.32
Mg  0.0000  0.0000  0.0000  6 C 2.32
C  0.6667  0.3333  0.7500  6 Mg 2.32

(8)
Material: MgC
Method: DFT, PBE-GGA
State: optimized geometry

## Properties
As for the symmetry: P-6m2, No. 187. As for the formation enthalpy at 0 K: 1.29 eV/atom.

Unit cell a=3.2135 b=3.2135 c=2.7855 alpha=90.00 beta=90.00 gamma=120.00
With the nearest neighbours (Å) after each atom.
Positions (direct):
C  0.0000  0.0000  0.0000  6 Mg 2.32
Mg  0.6667  0.3333  0.5000  6 C 2.32

Number 1: total energy -4.91 eV/atom, polymorph energy (0 for the lowest one) 0.2024 eV per atom. Number 2: total energy -5.99 eV/atom, polymorph energy (0 for the lowest one) 0.2626 eV per atom. Number 3: total energy -4.98 eV/atom, polymorph energy (0 for the lowest one) 0.0000 eV per atom. Number 4: total energy -4.88 eV/atom, polymorph energy (0 for the lowest one) 0.2312 eV per atom. Number 5: total energy -6.19 eV/atom, polymorph energy (0 for the lowest one) 0.0615 eV per atom. Number 6: total energy -4.89 eV/atom, polymorph energy (0 for the lowest one) 0.2163 eV per atom. Number 7: total energy -4.15 eV/atom, polymorph energy (0 for the lowest one) 0.9599 eV per atom. Number 8: total energy -4.11 eV/atom, polymorph energy (0 for the lowest one) 0.9949 eV per atom.